Entry from Alexandria: Nd2Sm2Ho after structural relaxation (GGA-PBE).

Cell: 6.2009 6.2009 8.8522 Å, 110.82 110.82 32.83°
Closest atoms and distances in Å follow each position.
Atoms (fractional coordinates):
Nd  0.1763  0.1763  0.2987  4 Nd 3.50-3.77, 3 Ho 3.59-3.66, 5 Sm 3.64-3.70
Nd  0.8237  0.8237  0.7013  4 Nd 3.50-3.77, 3 Ho 3.59-3.66, 5 Sm 3.64-3.70
Sm  0.3930  0.3930  0.0886  1 Ho 3.38, 5 Sm 3.45-3.63, 5 Nd 3.64-3.70
Sm  0.6070  0.6070  0.9114  1 Ho 3.38, 5 Sm 3.45-3.63, 5 Nd 3.64-3.70
Ho  0.5000  0.5000  0.5000  2 Sm 3.38, 2 Ho 3.50, 6 Nd 3.59-3.66

Properties
The density of states at the Fermi level comes out at 7.7 states/eV/cell. The total DFT energy (no corrections) comes out at -22.83 eV per cell. The formation energy is 0.144 eV/atom. For the density, the calculation gives 7.3 g/cm3. As for the size of the total moment: 0.0 μB/f.u. The distance to the lowest polymorph of the same formula is 8 meV/atom.